First-principles (SCAN) data for a PBEsol-optimized structure of BaTl2TcRh, as listed in Alexandria.

Computed properties:
**Total magnetic moment**: 3.917 μB/cell
**Energy relative to the elements**: 66 kJ per mole of atoms
**Crystal system**: tetragonal

Cell and atoms, written as POSCAR:
```
BaTl2TcRh
1.0
5.166 0.000 0.000
0.000 5.166 0.000
0.000 0.000 5.621
Ba Tl Tc Rh
1 2 1 1
direct
0.000 0.000 0.000
0.000 0.500 0.500
0.500 0.000 0.500
0.500 0.500 0.000
0.000 0.000 0.500
```


First-principles (SCAN) data for a PBEsol-optimized structure of V3Au, as listed in Alexandria.

Computed properties:
**Total magnetic moment**: 3.592 μB/cell
**Distance to the lowest polymorph of the same formula**: 0 meV/atom
**Energy relative to the elements**: -22 kJ per mole of atoms
**Crystal system**: cubic

Cell and atoms, written as POSCAR:
```
V3Au
1.0
4.804 0.000 0.000
0.000 4.804 0.000
0.000 0.000 4.804
V Au
6 2
direct
0.000 0.250 0.500
0.000 0.750 0.500
0.250 0.500 0.000
0.500 0.000 0.250
0.500 0.000 0.750
0.750 0.500 0.000
0.000 0.000 0.000
0.500 0.500 0.500
```


First-principles (SCAN) data for a PBEsol-optimized structure of BeW4Se, as listed in Alexandria.

Computed properties:
**Total magnetic moment**: 0.000 μB/cell
**Crystal system**: cubic
**Formation energy (no corrections)**: 1.056 eV/atom

Cell and atoms, written as POSCAR:
```
BeW4Se
1.0
0.000 3.703 3.703
3.703 0.000 3.703
3.703 3.703 0.000
Be W Se
1 4 1
direct
0.000 0.000 0.000
0.374 0.374 0.374
0.374 0.374 0.877
0.374 0.877 0.374
0.877 0.374 0.374
0.750 0.750 0.750
```


First-principles (SCAN) data for a PBEsol-optimized structure of AsC2S, as listed in Alexandria.

Computed properties:
**Total magnetic moment**: 0.000 μB/cell
**Crystal system**: tetragonal
**Formation energy (no corrections)**: 1.765 eV/atom

Cell and atoms, written as POSCAR:
```
AsC2S
1.0
-2.108 2.108 5.386
2.108 -2.108 5.386
2.108 2.108 -5.386
As C S
2 4 2
direct
0.000 0.000 0.000
0.750 0.250 0.500
0.141 0.625 0.016
0.375 0.391 0.516
0.609 0.125 0.984
0.875 0.859 0.484
0.250 0.750 0.500
0.500 0.500 0.000
```


First-principles (SCAN) data for a PBEsol-optimized structure of MoIrPb2, as listed in Alexandria.

Computed properties:
**Total magnetic moment**: 0.000 μB/cell
**Distance to the lowest polymorph of the same formula**: 337 meV/atom
**Energy relative to the elements**: 78 kJ per mole of atoms
**Crystal system**: monoclinic

Cell and atoms, written as POSCAR:
```
MoIrPb2
1.0
4.512 -1.532 0.000
4.512 1.532 0.000
-1.229 0.000 5.533
Mo Ir Pb
1 1 2
direct
0.000 0.000 0.000
0.500 0.500 0.500
0.247 0.247 0.747
0.753 0.753 0.253
```


First-principles (SCAN) data for a PBEsol-optimized structure of Ba2CaScPd, as listed in Alexandria.

Computed properties:
**Total magnetic moment**: 0.002 μB/cell
**Energy relative to the elements**: 26 kJ per mole of atoms
**Crystal system**: tetragonal

Cell and atoms, written as POSCAR:
```
Ba2CaScPd
1.0
6.423 0.000 0.000
0.000 6.423 0.000
0.000 0.000 4.748
Ba Ca Sc Pd
2 1 1 1
direct
0.000 0.500 0.000
0.500 0.000 0.000
0.000 0.000 0.500
0.500 0.500 0.000
0.500 0.500 0.500
```


First-principles (SCAN) data for a PBEsol-optimized structure of Cu5Bi2B4O14, as listed in Alexandria.

Computed properties:
**Total magnetic moment**: 5.000 μB/cell
**Crystal system**: triclinic
**Formation energy (no corrections)**: -1.609 eV/atom

Cell and atoms, written as POSCAR:
```
Cu5Bi2B4O14
1.0
3.515 0.000 0.000
1.054 9.030 0.000
1.328 3.681 9.297
Cu Bi B O
5 2 4 14
direct
0.000 0.000 0.000
0.000 0.500 0.500
0.055 0.179 0.651
0.500 0.000 0.500
0.945 0.821 0.349
0.488 0.644 0.172
0.512 0.356 0.828
0.133 0.297 0.329
0.492 0.137 0.189
0.508 0.863 0.811
0.867 0.703 0.671
0.007 0.450 0.320
0.059 0.197 0.834
0.112 0.173 0.458
0.288 0.275 0.202
0.355 0.658 0.384
0.387 0.984 0.692
0.428 0.869 0.944
0.572 0.131 0.056
0.613 0.016 0.308
0.645 0.342 0.616
0.712 0.725 0.798
0.888 0.827 0.542
0.941 0.803 0.166
0.993 0.550 0.680
```


First-principles (SCAN) data for a PBEsol-optimized structure of MgBeIn2, as listed in Alexandria.

Computed properties:
**Total magnetic moment**: 0.000 μB/cell
**Distance to the lowest polymorph of the same formula**: 4 meV/atom
**Energy relative to the elements**: 23 kJ per mole of atoms
**Crystal system**: monoclinic

Cell and atoms, written as POSCAR:
```
MgBeIn2
1.0
3.537 0.000 0.000
0.000 4.202 0.000
-1.747 0.000 5.487
Mg Be In
1 1 2
direct
0.000 0.000 0.000
0.000 0.000 0.500
0.357 0.500 0.726
0.643 0.500 0.274
```


First-principles (SCAN) data for a PBEsol-optimized structure of TiAlSn2Cl, as listed in Alexandria.

Computed properties:
**Total magnetic moment**: 0.000 μB/cell
**Crystal system**: tetragonal
**Formation energy (no corrections)**: 0.100 eV/atom

Cell and atoms, written as POSCAR:
```
TiAlSn2Cl
1.0
5.364 0.000 0.000
0.000 5.364 0.000
0.000 0.000 4.486
Ti Al Sn Cl
1 1 2 1
direct
0.000 0.000 0.000
0.500 0.500 0.500
0.000 0.500 0.000
0.500 0.000 0.000
0.000 0.000 0.500
```


First-principles (SCAN) data for a PBEsol-optimized structure of HgBSN2, as listed in Alexandria.

Computed properties:
**Total magnetic moment**: 3.831 μB/cell
**Crystal system**: tetragonal
**Formation energy (no corrections)**: 2.707 eV/atom

Cell and atoms, written as POSCAR:
```
HgBSN2
1.0
4.117 0.000 0.000
0.000 4.117 0.000
0.000 0.000 5.327
Hg B S N
1 1 1 2
direct
0.000 0.000 0.000
0.500 0.500 0.500
0.000 0.000 0.500
0.000 0.500 0.000
0.500 0.000 0.000
```


First-principles (SCAN) data for a PBEsol-optimized structure of NbNi3Ir, as listed in Alexandria.

Computed properties:
**Total magnetic moment**: 0.384 μB/cell
**Distance to the lowest polymorph of the same formula**: 0 meV/atom
**Energy relative to the elements**: 126 kJ per mole of atoms
**Crystal system**: cubic

Cell and atoms, written as POSCAR:
```
NbNi3Ir
1.0
4.376 0.000 0.000
0.000 4.376 0.000
0.000 0.000 4.376
Nb Ni Ir
1 3 1
direct
0.000 0.000 0.000
0.000 0.500 0.500
0.500 0.000 0.500
0.500 0.500 0.000
0.500 0.500 0.500
```


First-principles (SCAN) data for a PBEsol-optimized structure of ScZn, as listed in Alexandria.

Computed properties:
**Total magnetic moment**: 0.000 μB/cell
**Energy relative to the elements**: -29 kJ per mole of atoms
**Crystal system**: orthorhombic

Cell and atoms, written as POSCAR:
```
ScZn
1.0
-2.062 4.749 2.850
2.062 -4.749 2.850
2.062 4.749 -2.850
Sc Zn
3 3
direct
0.000 0.000 0.000
0.541 0.221 0.320
0.901 0.221 0.680
0.116 0.748 0.368
0.380 0.748 0.632
0.493 0.493 0.000
```


First-principles (SCAN) data for a PBEsol-optimized structure of TeP2Au, as listed in Alexandria.

Computed properties:
**Total magnetic moment**: 0.000 μB/cell
**Crystal system**: tetragonal
**Formation energy (no corrections)**: 0.351 eV/atom

Cell and atoms, written as POSCAR:
```
TeP2Au
1.0
-2.912 2.912 5.831
2.912 -2.912 5.831
2.912 2.912 -5.831
Te P Au
2 4 2
direct
0.000 0.000 0.000
0.750 0.250 0.500
0.168 0.625 0.043
0.375 0.418 0.543
0.582 0.125 0.957
0.875 0.832 0.457
0.250 0.750 0.500
0.500 0.500 0.000
```


First-principles (SCAN) data for a PBEsol-optimized structure of Cd2SnPd2, as listed in Alexandria.

Computed properties:
**Total magnetic moment**: 0.000 μB/cell
**Energy relative to the elements**: -32 kJ per mole of atoms
**Crystal system**: tetragonal

Cell and atoms, written as POSCAR:
```
Cd2SnPd2
1.0
7.038 0.000 0.000
0.000 7.038 0.000
0.000 0.000 3.741
Cd Sn Pd
4 2 4
direct
0.151 0.349 0.000
0.349 0.849 0.000
0.651 0.151 0.000
0.849 0.651 0.000
0.000 0.000 0.500
0.500 0.500 0.500
0.147 0.647 0.500
0.353 0.147 0.500
0.647 0.853 0.500
0.853 0.353 0.500
```


First-principles (SCAN) data for a PBEsol-optimized structure of CaBeRh, as listed in Alexandria.

Computed properties:
**Total magnetic moment**: 0.000 μB/cell
**Energy relative to the elements**: -41 kJ per mole of atoms
**Crystal system**: hexagonal

Cell and atoms, written as POSCAR:
```
CaBeRh
1.0
3.802 0.000 0.000
-1.901 3.292 0.000
0.000 0.000 4.218
Ca Be Rh
1 1 1
direct
0.000 0.000 0.000
0.667 0.333 0.500
0.333 0.667 0.500
```


First-principles (SCAN) data for a PBEsol-optimized structure of TlReMo2, as listed in Alexandria.

Computed properties:
**Total magnetic moment**: 0.000 μB/cell
**Distance to the lowest polymorph of the same formula**: 0 meV/atom
**Energy relative to the elements**: 44 kJ per mole of atoms
**Crystal system**: orthorhombic

Cell and atoms, written as POSCAR:
```
TlReMo2
1.0
2.915 0.000 0.000
0.000 4.006 0.000
0.000 0.000 5.710
Tl Re Mo
1 1 2
direct
0.000 0.000 0.000
0.000 0.000 0.500
0.500 0.500 0.289
0.500 0.500 0.711
```


First-principles (SCAN) data for a PBEsol-optimized structure of RbCdPt3, as listed in Alexandria.

Computed properties:
**Total magnetic moment**: 0.000 μB/cell
**Distance to the lowest polymorph of the same formula**: 0 meV/atom
**Energy relative to the elements**: 90 kJ per mole of atoms
**Crystal system**: cubic

Cell and atoms, written as POSCAR:
```
RbCdPt3
1.0
5.017 0.000 0.000
0.000 5.017 0.000
0.000 0.000 5.017
Rb Cd Pt
1 1 3
direct
0.000 0.000 0.000
0.500 0.500 0.500
0.000 0.500 0.500
0.500 0.000 0.500
0.500 0.500 0.000
```


First-principles (SCAN) data for a PBEsol-optimized structure of CdHgAu2, as listed in Alexandria.

Computed properties:
**Total magnetic moment**: 0.000 μB/cell
**Energy relative to the elements**: -3 kJ per mole of atoms
**Crystal system**: orthorhombic

Cell and atoms, written as POSCAR:
```
CdHgAu2
1.0
3.138 0.000 0.000
0.000 3.956 0.000
0.000 0.000 5.985
Cd Hg Au
1 1 2
direct
0.000 0.000 0.000
0.500 0.500 0.275
0.000 0.000 0.520
0.500 0.500 0.768
```


First-principles (SCAN) data for a PBEsol-optimized structure of KAg2SbS3, as listed in Alexandria.

Computed properties:
**Total magnetic moment**: 0.000 μB/cell
**Crystal system**: triclinic
**Formation energy (no corrections)**: -0.517 eV/atom

Cell and atoms, written as POSCAR:
```
KAg2SbS3
1.0
6.671 0.000 0.000
-0.129 9.284 0.000
-0.530 -0.104 10.740
K Ag Sb S
4 8 4 12
direct
0.196 0.420 0.131
0.303 0.572 0.633
0.697 0.428 0.367
0.804 0.580 0.869
0.016 0.109 0.337
0.098 0.827 0.049
0.407 0.163 0.540
0.488 0.267 0.860
0.512 0.733 0.140
0.593 0.837 0.460
0.902 0.173 0.951
0.984 0.891 0.663
0.043 0.797 0.348
0.467 0.949 0.853
0.533 0.051 0.147
0.957 0.203 0.652
0.117 0.316 0.474
0.127 0.334 0.829
0.164 0.079 0.134
0.357 0.662 0.337
0.358 0.706 0.922
0.360 0.918 0.633
0.640 0.082 0.367
0.642 0.294 0.078
0.643 0.338 0.663
0.836 0.921 0.866
0.873 0.666 0.171
0.883 0.684 0.526
```


First-principles (SCAN) data for a PBEsol-optimized structure of KNiAsBr2, as listed in Alexandria.

Computed properties:
**Total magnetic moment**: 0.715 μB/cell
**Distance to the lowest polymorph of the same formula**: 0 meV/atom
**Crystal system**: tetragonal
**Formation energy (no corrections)**: -0.491 eV/atom

Cell and atoms, written as POSCAR:
```
KNiAsBr2
1.0
5.299 0.000 0.000
0.000 5.299 0.000
0.000 0.000 4.382
K Ni As Br
1 1 1 2
direct
0.000 0.000 0.000
0.500 0.500 0.500
0.500 0.500 0.000
0.000 0.500 0.500
0.500 0.000 0.500
```


First-principles (SCAN) data for a PBEsol-optimized structure of ZrSbI2N, as listed in Alexandria.

Computed properties:
**Total magnetic moment**: 2.036 μB/cell
**Distance to the lowest polymorph of the same formula**: 0 meV/atom
**Crystal system**: tetragonal
**Formation energy (no corrections)**: 0.703 eV/atom

Cell and atoms, written as POSCAR:
```
ZrSbI2N
1.0
5.647 0.000 0.000
0.000 5.647 0.000
0.000 0.000 5.587
Zr Sb I N
1 1 2 1
direct
0.000 0.000 0.000
0.000 0.000 0.500
0.000 0.500 0.000
0.500 0.000 0.000
0.500 0.500 0.500
```


First-principles (SCAN) data for a PBEsol-optimized structure of Lu2TlAg, as listed in Alexandria.

Computed properties:
**Total magnetic moment**: 0.000 μB/cell
**Energy relative to the elements**: -45 kJ per mole of atoms
**Crystal system**: cubic

Cell and atoms, written as POSCAR:
```
Lu2TlAg
1.0
0.000 3.582 3.582
3.582 0.000 3.582
3.582 3.582 0.000
Lu Tl Ag
2 1 1
direct
0.250 0.250 0.250
0.750 0.750 0.750
0.000 0.000 0.000
0.500 0.500 0.500
```


First-principles (SCAN) data for a PBEsol-optimized structure of NaHgAs, as listed in Alexandria.

Computed properties:
**Total magnetic moment**: 0.000 μB/cell
**Energy relative to the elements**: -34 kJ per mole of atoms
**Crystal system**: orthorhombic

Cell and atoms, written as POSCAR:
```
NaHgAs
1.0
0.000 5.123 6.413
5.073 0.000 6.413
5.073 5.123 0.000
Na Hg As
4 4 4
direct
0.013 0.013 0.737
0.263 0.263 0.987
0.737 0.737 0.013
0.987 0.987 0.263
0.000 0.500 0.500
0.500 0.000 0.500
0.500 0.500 0.000
0.500 0.500 0.500
0.108 0.642 0.108
0.358 0.892 0.358
0.642 0.108 0.642
0.892 0.358 0.892
```


First-principles (SCAN) data for a PBEsol-optimized structure of Y2ScHS, as listed in Alexandria.

Computed properties:
**Total magnetic moment**: 0.001 μB/cell
**Raw total energy**: -83.37 eV per formula unit
**Crystal system**: tetragonal

Cell and atoms, written as POSCAR:
```
Y2ScHS
1.0
5.166 0.000 0.000
0.000 5.166 0.000
0.000 0.000 4.676
Y Sc H S
2 1 1 1
direct
0.000 0.500 0.000
0.500 0.000 0.000
0.000 0.000 0.500
0.500 0.500 0.500
0.000 0.000 0.000
```


First-principles (SCAN) data for a PBEsol-optimized structure of La2ZnCo, as listed in Alexandria.

Computed properties:
**Total magnetic moment**: 1.183 μB/cell
**Energy relative to the elements**: -9 kJ per mole of atoms
**Crystal system**: orthorhombic

Cell and atoms, written as POSCAR:
```
La2ZnCo
1.0
-1.719 2.314 5.411
1.719 -2.314 5.411
1.719 2.314 -5.411
La Zn Co
2 1 1
direct
0.000 0.000 0.000
0.695 0.195 0.500
0.394 0.394 0.000
0.231 0.731 0.500
```